! GGA-PBE LaBeSeBr2, relaxed; values from VASP
&SYSTEM
  ibrav = 0, nat = 5, ntyp = 4
/
ATOMIC_SPECIES
Be 9.01 Be.upf
Se 78.96 Se.upf
Br 79.90 Br.upf
La 138.91 La.upf
CELL_PARAMETERS angstrom
-4.098 -2.321 0.861
1.443 -3.593 -2.817
2.086 -2.232 3.915
ATOMIC_POSITIONS angstrom
Be 0.000 0.000 0.000
Se 1.043 -1.116 1.957
Br 0.722 -1.796 -1.409
Br -2.049 -1.161 0.430
La -0.285 -4.073 0.979
! - uncorrected formation energy (eV/atom) = -0.885
! - relative energy among the computed polymorphs (eV/atom) = 0.000
! - DOS at the Fermi energy (states/eV per atom) = 1.07